(1)
A PBEsol-optimized structure of BeAlRe4. Source: Alexandria via LeMat-Bulk, functional SCAN. Values from VASP.

Computed properties:
Calculated formation energy (eV per formula unit): 2.7
VASP energy (eV per atom): -48.97
Magnetic moment (μB/f.u.): 0.00
D(E_F) (states/eV/cell): 2.71

The structure in Quantum ESPRESSO input format:
```
&SYSTEM
  ibrav = 0, nat = 6, ntyp = 3
/
ATOMIC_SPECIES
Be 9.01 Be.upf
Al 26.98 Al.upf
Re 186.21 Re.upf
CELL_PARAMETERS angstrom
0.0000 3.6059 3.6059
3.6059 0.0000 3.6059
3.6059 3.6059 0.0000
ATOMIC_POSITIONS crystal
Be 0.0000 0.0000 0.0000
Al 0.7500 0.7500 0.7500
Re 0.3748 0.3748 0.3748
Re 0.3748 0.3748 0.8758
Re 0.3748 0.8758 0.3748
Re 0.8758 0.3748 0.3748
```

=====

(2)
A PBEsol-optimized structure of BeAl2Re. Source: Alexandria via LeMat-Bulk, functional SCAN. Values from VASP.

Computed properties:
Calculated formation energy (eV per formula unit): -1.2
VASP energy (eV per atom): -23.03
Magnetic moment (μB/f.u.): 0.00
D(E_F) (states/eV/cell): 0.86

The structure in Quantum ESPRESSO input format:
```
&SYSTEM
  ibrav = 0, nat = 4, ntyp = 3
/
ATOMIC_SPECIES
Be 9.01 Be.upf
Al 26.98 Al.upf
Re 186.21 Re.upf
CELL_PARAMETERS angstrom
-1.6225 1.9803 3.9986
1.6225 -1.9803 3.9986
1.6225 1.9803 -3.9986
ATOMIC_POSITIONS crystal
Be 0.0000 0.0000 0.0000
Al 0.4904 0.4904 0.0000
Al 0.7590 0.2590 0.5000
Re 0.2285 0.7285 0.5000
```

=====

(3)
A PBEsol-optimized structure of BeAl2Re. Source: Alexandria via LeMat-Bulk, functional SCAN. Values from VASP.

Computed properties:
Calculated formation energy (eV per formula unit): -0.6
VASP energy (eV per atom): -22.88
Magnetic moment (μB/f.u.): 0.00
D(E_F) (states/eV/cell): 2.33

The structure in Quantum ESPRESSO input format:
```
&SYSTEM
  ibrav = 0, nat = 4, ntyp = 3
/
ATOMIC_SPECIES
Be 9.01 Be.upf
Al 26.98 Al.upf
Re 186.21 Re.upf
CELL_PARAMETERS angstrom
3.2000 0.0000 0.0000
0.0000 3.2000 0.0000
0.0000 0.0000 5.2116
ATOMIC_POSITIONS crystal
Be 0.0000 0.0000 0.0000
Al 0.5000 0.5000 0.2502
Al 0.5000 0.5000 0.7498
Re 0.0000 0.0000 0.5000
```

=====

(4)
A PBEsol-optimized structure of BeAlRe. Source: Alexandria via LeMat-Bulk, functional SCAN. Values from VASP.

Computed properties:
Calculated formation energy (eV per formula unit): 0.3
VASP energy (eV per atom): -27.64
Energy above the lowest structure with this stoichiometry (eV per atom): 0.220
Magnetic moment (μB/f.u.): 0.00
D(E_F) (states/eV/cell): 1.35

The structure in Quantum ESPRESSO input format:
```
&SYSTEM
  ibrav = 0, nat = 3, ntyp = 3
/
ATOMIC_SPECIES
Be 9.01 Be.upf
Al 26.98 Al.upf
Re 186.21 Re.upf
CELL_PARAMETERS angstrom
0.0000 2.1362 5.9283
1.5398 0.0000 5.9283
1.5398 2.1362 0.0000
ATOMIC_POSITIONS crystal
Be 0.0000 0.0000 0.0000
Al 0.3324 0.3324 0.6676
Re 0.6526 0.6526 0.3474
```

=====

(5)
A PBEsol-optimized structure of BeAlRe2. Source: Alexandria via LeMat-Bulk, functional SCAN. Values from VASP.

Computed properties:
Calculated formation energy (eV per formula unit): -0.4
VASP energy (eV per atom): -38.68
Energy above the lowest structure with this stoichiometry (eV per atom): 0.217
Magnetic moment (μB/f.u.): 0.00
D(E_F) (states/eV/cell): 1.65

The structure in Quantum ESPRESSO input format:
```
&SYSTEM
  ibrav = 0, nat = 4, ntyp = 3
/
ATOMIC_SPECIES
Be 9.01 Be.upf
Al 26.98 Al.upf
Re 186.21 Re.upf
CELL_PARAMETERS angstrom
-1.5202 2.1404 4.0384
1.5202 -2.1404 4.0384
1.5202 2.1404 -4.0384
ATOMIC_POSITIONS crystal
Be 0.0000 0.0000 0.0000
Al 0.5000 0.5000 0.0000
Re 0.2407 0.7407 0.5000
Re 0.7593 0.2593 0.5000
```

=====

(6)
A PBEsol-optimized structure of BeAlRe. Source: Alexandria via LeMat-Bulk, functional SCAN. Values from VASP.

Computed properties:
Calculated formation energy (eV per formula unit): 2.5
VASP energy (eV per atom): -26.92
Energy above the lowest structure with this stoichiometry (eV per atom): 0.943
Magnetic moment (μB/f.u.): 1.01
D(E_F) (states/eV/cell): 2.65

The structure in Quantum ESPRESSO input format:
```
&SYSTEM
  ibrav = 0, nat = 3, ntyp = 3
/
ATOMIC_SPECIES
Be 9.01 Be.upf
Al 26.98 Al.upf
Re 186.21 Re.upf
CELL_PARAMETERS angstrom
0.0000 2.8147 2.8147
2.8147 0.0000 2.8147
2.8147 2.8147 0.0000
ATOMIC_POSITIONS crystal
Be 0.0000 0.0000 0.0000
Al 0.2500 0.2500 0.2500
Re 0.5000 0.5000 0.5000
```

=====

(7)
A PBEsol-optimized structure of Be2AlRe2. Source: Alexandria via LeMat-Bulk, functional SCAN. Values from VASP.

Computed properties:
Calculated formation energy (eV per formula unit): -2.0
VASP energy (eV per atom): -32.13
Magnetic moment (μB/f.u.): 0.00
D(E_F) (states/eV/cell): 5.34

The structure in Quantum ESPRESSO input format:
```
&SYSTEM
  ibrav = 0, nat = 10, ntyp = 3
/
ATOMIC_SPECIES
Be 9.01 Be.upf
Al 26.98 Al.upf
Re 186.21 Re.upf
CELL_PARAMETERS angstrom
5.9453 0.0000 0.0000
0.0000 5.9453 0.0000
0.0000 0.0000 3.1577
ATOMIC_POSITIONS crystal
Be 0.1192 0.3808 0.0000
Be 0.3808 0.8808 0.0000
Be 0.6192 0.1192 0.0000
Be 0.8808 0.6192 0.0000
Al 0.0000 0.0000 0.0000
Al 0.5000 0.5000 0.0000
Re 0.1751 0.6751 0.5000
Re 0.3249 0.1751 0.5000
Re 0.6751 0.8249 0.5000
Re 0.8249 0.3249 0.5000
```

=====

(8)
A PBEsol-optimized structure of BeAlReRu2. Source: Alexandria via LeMat-Bulk, functional SCAN. Values from VASP.

Computed properties:
Calculated formation energy (eV per formula unit): 6.4
VASP energy (eV per atom): -29.30
Magnetic moment (μB/f.u.): 0.00
D(E_F) (states/eV/cell): 2.89

The structure in Quantum ESPRESSO input format:
```
&SYSTEM
  ibrav = 0, nat = 5, ntyp = 4
/
ATOMIC_SPECIES
Be 9.01 Be.upf
Al 26.98 Al.upf
Re 186.21 Re.upf
Ru 101.07 Ru.upf
CELL_PARAMETERS angstrom
4.6003 0.0000 0.0000
0.0000 4.6003 0.0000
0.0000 0.0000 4.1776
ATOMIC_POSITIONS crystal
Be 0.0000 0.0000 0.0000
Al 0.5000 0.5000 0.0000
Re 0.0000 0.0000 0.5000
Ru 0.0000 0.5000 0.5000
Ru 0.5000 0.0000 0.5000
```

=====

(9)
A PBEsol-optimized structure of BeAl2Rh. Source: Alexandria via LeMat-Bulk, functional SCAN. Values from VASP.

Computed properties:
Calculated formation energy (eV per formula unit): -2.4
VASP energy (eV per atom): -14.00
Magnetic moment (μB/f.u.): 0.00
D(E_F) (states/eV/cell): 1.66

The structure in Quantum ESPRESSO input format:
```
&SYSTEM
  ibrav = 0, nat = 4, ntyp = 3
/
ATOMIC_SPECIES
Be 9.01 Be.upf
Al 26.98 Al.upf
Rh 102.91 Rh.upf
CELL_PARAMETERS angstrom
3.0999 0.0000 0.0000
0.0000 3.0999 0.0000
0.0000 0.0000 5.3161
ATOMIC_POSITIONS crystal
Be 0.0000 0.0000 0.0000
Al 0.0000 0.0000 0.4701
Al 0.5000 0.5000 0.7641
Rh 0.5000 0.5000 0.2279
```

=====

(10)
A PBEsol-optimized structure of Be2AlRh2. Source: Alexandria via LeMat-Bulk, functional SCAN. Values from VASP.

Computed properties:
Calculated formation energy (eV per formula unit): -4.5
VASP energy (eV per atom): -17.70
Magnetic moment (μB/f.u.): 0.00
D(E_F) (states/eV/cell): 3.87

The structure in Quantum ESPRESSO input format:
```
&SYSTEM
  ibrav = 0, nat = 10, ntyp = 3
/
ATOMIC_SPECIES
Be 9.01 Be.upf
Al 26.98 Al.upf
Rh 102.91 Rh.upf
CELL_PARAMETERS angstrom
6.2686 0.0000 0.0000
0.0000 6.2686 0.0000
0.0000 0.0000 2.8071
ATOMIC_POSITIONS crystal
Be 0.1201 0.3799 0.0000
Be 0.3799 0.8799 0.0000
Be 0.6201 0.1201 0.0000
Be 0.8799 0.6201 0.0000
Al 0.0000 0.0000 0.0000
Al 0.5000 0.5000 0.0000
Rh 0.1749 0.6749 0.5000
Rh 0.3251 0.1749 0.5000
Rh 0.6749 0.8251 0.5000
Rh 0.8251 0.3251 0.5000
```

=====

(11)
A PBEsol-optimized structure of BeAl2Rh. Source: Alexandria via LeMat-Bulk, functional SCAN. Values from VASP.

Computed properties:
Calculated formation energy (eV per formula unit): -2.5
VASP energy (eV per atom): -14.02
Magnetic moment (μB/f.u.): 0.00
D(E_F) (states/eV/cell): 1.15

The structure in Quantum ESPRESSO input format:
```
&SYSTEM
  ibrav = 0, nat = 4, ntyp = 3
/
ATOMIC_SPECIES
Be 9.01 Be.upf
Al 26.98 Al.upf
Rh 102.91 Rh.upf
CELL_PARAMETERS angstrom
3.9366 0.0000 0.0000
0.0000 3.9366 0.0000
0.0000 0.0000 3.2537
ATOMIC_POSITIONS crystal
Be 0.0000 0.0000 0.0000
Al 0.0000 0.5000 0.5000
Al 0.5000 0.0000 0.5000
Rh 0.5000 0.5000 0.0000
```

=====

(12)
A PBEsol-optimized structure of BeAlRh2. Source: Alexandria via LeMat-Bulk, functional SCAN. Values from VASP.

Computed properties:
Calculated formation energy (eV per formula unit): -2.9
VASP energy (eV per atom): -20.65
Energy above the lowest structure with this stoichiometry (eV per atom): 0.347
Magnetic moment (μB/f.u.): 0.00
D(E_F) (states/eV/cell): 2.96

The structure in Quantum ESPRESSO input format:
```
&SYSTEM
  ibrav = 0, nat = 4, ntyp = 3
/
ATOMIC_SPECIES
Be 9.01 Be.upf
Al 26.98 Al.upf
Rh 102.91 Rh.upf
CELL_PARAMETERS angstrom
-1.4284 1.9757 4.3306
1.4284 -1.9757 4.3306
1.4284 1.9757 -4.3306
ATOMIC_POSITIONS crystal
Be 0.0000 0.0000 0.0000
Al 0.7474 0.2474 0.5000
Rh 0.2184 0.7184 0.5000
Rh 0.4862 0.4862 0.0000
```

=====

(13)
A PBEsol-optimized structure of Be4AlRh. Source: Alexandria via LeMat-Bulk, functional SCAN. Values from VASP.

Computed properties:
Calculated formation energy (eV per formula unit): -3.8
VASP energy (eV per atom): -10.45
Magnetic moment (μB/f.u.): 0.00

The structure in Quantum ESPRESSO input format:
```
&SYSTEM
  ibrav = 0, nat = 6, ntyp = 3
/
ATOMIC_SPECIES
Be 9.01 Be.upf
Al 26.98 Al.upf
Rh 102.91 Rh.upf
CELL_PARAMETERS angstrom
0.0000 3.0360 3.0360
3.0360 0.0000 3.0360
3.0360 3.0360 0.0000
ATOMIC_POSITIONS crystal
Be 0.1254 0.1254 0.1254
Be 0.1254 0.1254 0.6238
Be 0.1254 0.6238 0.1254
Be 0.6238 0.1254 0.1254
Al 0.7500 0.7500 0.7500
Rh 0.5000 0.5000 0.5000
```

=====

(14)
A PBEsol-optimized structure of BeAlRh2. Source: Alexandria via LeMat-Bulk, functional SCAN. Values from VASP.

Computed properties:
Calculated formation energy (eV per formula unit): -4.3
VASP energy (eV per atom): -20.98
Energy above the lowest structure with this stoichiometry (eV per atom): 0.011
Magnetic moment (μB/f.u.): 0.00
D(E_F) (states/eV/cell): 1.08

The structure in Quantum ESPRESSO input format:
```
&SYSTEM
  ibrav = 0, nat = 4, ntyp = 3
/
ATOMIC_SPECIES
Be 9.01 Be.upf
Al 26.98 Al.upf
Rh 102.91 Rh.upf
CELL_PARAMETERS angstrom
0.0000 2.8708 2.8708
2.8708 0.0000 2.8708
2.8708 2.8708 0.0000
ATOMIC_POSITIONS crystal
Be 0.0000 0.0000 0.0000
Al 0.5000 0.5000 0.5000
Rh 0.2500 0.2500 0.2500
Rh 0.7500 0.7500 0.7500
```

=====

(15)
A PBEsol-optimized structure of BeAl2Rh. Source: Alexandria via LeMat-Bulk, functional SCAN. Values from VASP.

Computed properties:
Calculated formation energy (eV per formula unit): -1.9
VASP energy (eV per atom): -13.89
Magnetic moment (μB/f.u.): 0.00
D(E_F) (states/eV/cell): 1.16

The structure in Quantum ESPRESSO input format:
```
&SYSTEM
  ibrav = 0, nat = 4, ntyp = 3
/
ATOMIC_SPECIES
Be 9.01 Be.upf
Al 26.98 Al.upf
Rh 102.91 Rh.upf
CELL_PARAMETERS angstrom
0.0000 2.9292 2.9292
2.9292 0.0000 2.9292
2.9292 2.9292 0.0000
ATOMIC_POSITIONS crystal
Be 0.0000 0.0000 0.0000
Al 0.2500 0.2500 0.2500
Al 0.5000 0.5000 0.5000
Rh 0.7500 0.7500 0.7500
```

=====

(16)
A PBEsol-optimized structure of BeAlRh2. Source: Alexandria via LeMat-Bulk, functional SCAN. Values from VASP.

Computed properties:
Calculated formation energy (eV per formula unit): -4.3
VASP energy (eV per atom): -20.99
Energy above the lowest structure with this stoichiometry (eV per atom): 0.000
Magnetic moment (μB/f.u.): 0.00
D(E_F) (states/eV/cell): 1.02

The structure in Quantum ESPRESSO input format:
```
&SYSTEM
  ibrav = 0, nat = 4, ntyp = 3
/
ATOMIC_SPECIES
Be 9.01 Be.upf
Al 26.98 Al.upf
Rh 102.91 Rh.upf
CELL_PARAMETERS angstrom
2.8630 0.0000 0.0000
0.0000 2.8630 0.0000
0.0000 0.0000 5.7277
ATOMIC_POSITIONS crystal
Be 0.0000 0.0000 0.0000
Al 0.0000 0.0000 0.5000
Rh 0.5000 0.5000 0.2351
Rh 0.5000 0.5000 0.7649
```

=====

(17)
A PBEsol-optimized structure of BeAlRh2. Source: Alexandria via LeMat-Bulk, functional SCAN. Values from VASP.

Computed properties:
Calculated formation energy (eV per formula unit): -2.8
VASP energy (eV per atom): -20.61
Energy above the lowest structure with this stoichiometry (eV per atom): 0.386
Magnetic moment (μB/f.u.): 0.00
D(E_F) (states/eV/cell): 1.78

The structure in Quantum ESPRESSO input format:
```
&SYSTEM
  ibrav = 0, nat = 4, ntyp = 3
/
ATOMIC_SPECIES
Be 9.01 Be.upf
Al 26.98 Al.upf
Rh 102.91 Rh.upf
CELL_PARAMETERS angstrom
3.9574 -1.4539 0.0000
3.9574 1.4539 0.0000
-1.6202 0.0000 4.2978
ATOMIC_POSITIONS crystal
Be 0.0000 0.0000 0.0000
Al 0.5000 0.5000 0.5000
Rh 0.2723 0.2723 0.7747
Rh 0.7277 0.7277 0.2253
```

=====

(18)
A PBEsol-optimized structure of BeAlRu2. Source: Alexandria via LeMat-Bulk, functional SCAN. Values from VASP.

Computed properties:
Calculated formation energy (eV per formula unit): -1.3
VASP energy (eV per atom): -20.77
Magnetic moment (μB/f.u.): 0.00
D(E_F) (states/eV/cell): 2.99

The structure in Quantum ESPRESSO input format:
```
&SYSTEM
  ibrav = 0, nat = 4, ntyp = 3
/
ATOMIC_SPECIES
Be 9.01 Be.upf
Al 26.98 Al.upf
Ru 101.07 Ru.upf
CELL_PARAMETERS angstrom
3.9017 -1.3827 0.0000
3.9017 1.3827 0.0000
-1.1135 0.0000 4.6279
ATOMIC_POSITIONS crystal
Be 0.0000 0.0000 0.0000
Al 0.5000 0.5000 0.5000
Ru 0.2603 0.2603 0.7749
Ru 0.7397 0.7397 0.2251
```

=====

(19)
A PBEsol-optimized structure of BeAl4Ru. Source: Alexandria via LeMat-Bulk, functional SCAN. Values from VASP.

Computed properties:
Calculated formation energy (eV per formula unit): 0.8
VASP energy (eV per atom): -11.57
Magnetic moment (μB/f.u.): 0.00
D(E_F) (states/eV/cell): 0.94

The structure in Quantum ESPRESSO input format:
```
&SYSTEM
  ibrav = 0, nat = 6, ntyp = 3
/
ATOMIC_SPECIES
Be 9.01 Be.upf
Al 26.98 Al.upf
Ru 101.07 Ru.upf
CELL_PARAMETERS angstrom
0.0000 3.4957 3.4957
3.4957 0.0000 3.4957
3.4957 3.4957 0.0000
ATOMIC_POSITIONS crystal
Be 0.0000 0.0000 0.0000
Al 0.1275 0.6242 0.6242
Al 0.6242 0.1275 0.6242
Al 0.6242 0.6242 0.1275
Al 0.6242 0.6242 0.6242
Ru 0.2500 0.2500 0.2500
```

=====

(20)
A PBEsol-optimized structure of Be2AlRu. Source: Alexandria via LeMat-Bulk, functional SCAN. Values from VASP.

Computed properties:
Calculated formation energy (eV per formula unit): -1.4
VASP energy (eV per atom): -13.18
Magnetic moment (μB/f.u.): 0.00
D(E_F) (states/eV/cell): 1.72

The structure in Quantum ESPRESSO input format:
```
&SYSTEM
  ibrav = 0, nat = 4, ntyp = 3
/
ATOMIC_SPECIES
Be 9.01 Be.upf
Al 26.98 Al.upf
Ru 101.07 Ru.upf
CELL_PARAMETERS angstrom
3.1599 0.0000 0.0000
0.0000 3.6727 0.0000
0.0000 0.0000 3.7981
ATOMIC_POSITIONS crystal
Be 0.0000 0.0000 0.0000
Be 0.5000 0.0000 0.5000
Al 0.0000 0.5000 0.5000
Ru 0.5000 0.5000 0.0000
```